Record 1
LuCoTcSn: relaxed, PBE.

```
4
Lattice="2.348 -1.752 3.531 -2.235 -1.606 3.670 -0.119 -4.512 0.821" Properties=species:S:1:pos:R:3 pbc="T T T"
Co -0.004 -5.902 6.016
Lu -0.003 -3.935 4.011
Sn 0.000 0.000 0.000
Tc -0.001 -1.967 2.005
```

The value obtained for the energy is -6.623 eV per atom.

=====

Record 2
TmLuCoSn2: relaxed, PBE.

```
10
Lattice="-2.943 0.372 -4.951 -5.569 0.381 -1.469 4.373 9.237 3.273" Properties=species:S:1:pos:R:3 pbc="T T T"
Co -1.611 1.802 -1.219
Co -2.529 8.189 -1.928
Lu -5.300 4.057 -4.007
Lu 1.160 5.934 0.860
Sn -5.407 0.990 -4.079
Sn -2.833 3.901 -2.146
Sn -1.306 6.090 -1.001
Sn 1.267 9.001 0.932
Tm 0.695 1.573 0.520
Tm -4.834 8.418 -3.667
```

The value obtained for the energy is -5.379 eV per atom.

=====

Record 3
LuCoSnW: relaxed, PBE.

```
4
Lattice="-4.315 -0.425 -1.675 -3.206 3.216 0.993 -1.500 2.888 -3.319" Properties=species:S:1:pos:R:3 pbc="T T T"
Co -6.766 4.259 -3.001
Lu -4.510 2.840 -2.000
Sn 0.000 0.000 0.000
W -2.255 1.420 -1.000
```

The value obtained for the energy is -6.787 eV per atom.

=====

Record 4
LuZnCoSn: relaxed, PBE.

```
4
Lattice="0.000 3.290 3.290 3.290 0.000 3.290 3.290 3.290 0.000" Properties=species:S:1:pos:R:3 pbc="T T T"
Co 4.935 4.935 4.935
Lu 1.645 1.645 1.645
Sn 0.000 0.000 0.000
Zn 3.290 3.290 3.290
```

The value obtained for the energy is -4.339 eV per atom.

=====

Record 5
LuZnCoSn: relaxed, PBE.

```
4
Lattice="-2.142 0.927 3.993 -3.356 3.179 0.141 -4.394 -1.302 0.624" Properties=species:S:1:pos:R:3 pbc="T T T"
Co -7.419 2.103 3.568
Lu -4.946 1.402 2.379
Sn 0.000 0.000 0.000
Zn -2.473 0.701 1.189
```

The value obtained for the energy is -4.429 eV per atom.

=====

Record 6
SrLuCo: relaxed, PBE.

```
3
Lattice="0.000 3.392 3.392 3.392 0.000 3.392 3.392 3.392 0.000" Properties=species:S:1:pos:R:3 pbc="T T T"
Co 0.000 0.000 0.000
Lu 1.696 1.696 1.696
Sr 5.088 5.088 5.088
```

The value obtained for the energy is -4.116 eV per atom.

=====

Record 7
Lu2TaCo: relaxed, PBE.

```
4
Lattice="0.000 3.385 3.385 3.385 0.000 3.385 3.385 3.385 0.000" Properties=species:S:1:pos:R:3 pbc="T T T"
Co 1.692 1.692 1.692
Lu 0.000 0.000 0.000
Lu 5.077 5.077 5.077
Ta 3.385 3.385 3.385
```

For the energy relative to the elements, the calculation gives 0.4229 eV per atom.

=====

Record 8
LuTaTlCo: relaxed, PBE.

```
4
Lattice="-1.234 -4.557 -0.526 -3.944 -1.132 -2.393 0.320 -2.070 -4.263" Properties=species:S:1:pos:R:3 pbc="T T T"
Co -3.643 -5.820 -5.387
Lu -1.214 -1.940 -1.796
Ta -2.429 -3.880 -3.591
Tl 0.000 0.000 0.000
```

The value obtained for the energy is -5.935 eV per atom.

=====

Number 1 is which compound? LuCoTcSn